! HgMoF3 GGA+U relaxed; values from VASP
&SYSTEM
  ibrav = 0, nat = 5, ntyp = 3
/
ATOMIC_SPECIES
Hg 200.59 Hg.upf
Mo 95.94 Mo.upf
F 19.00 F.upf
CELL_PARAMETERS angstrom
4.334 0.000 0.000
0.000 4.334 0.000
0.000 0.000 4.334
ATOMIC_POSITIONS crystal
Hg 0.000 0.000 0.000
Mo 0.500 0.500 0.500
F 0.000 0.500 0.500
F 0.500 0.000 0.500
F 0.500 0.500 0.000
! DOS(E_F) = 0.0 states/eV/f.u.
! ΔE to the lowest computed polymorph = 133.7 meV/atom